No. 1
TaCuB2: relaxed, PBE.

```
TaCuB2
1.0
-1.8497 1.8497 6.7205
1.8497 -1.8497 6.7205
1.8497 1.8497 -6.7205
Ta Cu B
2 2 4
Direct
0.0000 0.0000 0.0000
0.7500 0.2500 0.5000
0.2500 0.7500 0.5000
0.5000 0.5000 0.0000
0.3055 0.6250 0.1805
0.3750 0.5555 0.6805
0.4445 0.1250 0.8195
0.8750 0.6945 0.3195
```

Results
V: 11.5 Å³/atom
energy relative to the elements: 190 kJ/mol of formula units
mass density: 9.61 g/cm³
crystal system: tetragonal
uncorrected energy: -54.7 eV per cell

=====

No. 2
YZrPS2: relaxed, PBE.

```
YZrPS2
1.0
5.0077 0.0000 0.0000
0.0000 5.0077 0.0000
0.0000 0.0000 5.2263
Y Zr P S
1 1 1 2
Direct
0.0000 0.0000 0.0000
0.5000 0.5000 0.5000
0.0000 0.0000 0.5000
0.0000 0.5000 0.0000
0.5000 0.0000 0.0000
```

Results
V: 26.2 Å³/atom
mass density: 3.49 g/cm³
crystal system: tetragonal
uncorrected energy: -29.1 eV per cell

=====

No. 3
PmCdInAu: relaxed, PBE.

```
PmCdInAu
1.0
4.3834 -2.5564 0.0000
4.3834 2.5564 0.0000
-2.9666 0.0000 4.1680
Pm Cd In Au
1 1 1 1
Direct
0.0000 0.0000 0.0000
0.7501 0.7501 0.2513
0.5000 0.5000 0.5005
0.2499 0.2499 0.7490
```

Results
V: 23.4 Å³/atom
energy relative to the elements: -192 kJ/mol of formula units
mass density: 10.12 g/cm³
crystal system: monoclinic
uncorrected energy: -13.7 eV per cell

=====

No. 4
TbPm3Y4S8: relaxed, PBE.

```
TbPm3Y4S8
1.0
3.9551 2.2835 6.5033
-3.9551 2.2835 6.5033
0.0000 -4.5669 6.5033
Tb Pm Y S
1 3 4 8
Direct
0.0000 0.0000 0.0000
0.0000 0.5000 0.5000
0.5000 0.0000 0.5000
0.5000 0.5000 0.0000
0.0000 0.0000 0.5000
0.0000 0.5000 0.0000
0.5000 0.0000 0.0000
0.5000 0.5000 0.5000
0.2426 0.7496 0.7496
0.2461 0.2461 0.2461
0.2504 0.2504 0.7574
0.2504 0.7574 0.2504
0.7496 0.2426 0.7496
0.7496 0.7496 0.2426
0.7539 0.7539 0.7539
0.7574 0.2504 0.2504
```

Results
V: 22.0 Å³/atom
mass density: 5.68 g/cm³
crystal system: trigonal
uncorrected energy: -109.9 eV per cell

=====

No. 5
SmTiPd6: relaxed, PBE.

```
SmTiPd6
1.0
4.0564 0.0000 0.0000
0.0000 4.0564 0.0000
0.0000 0.0000 8.0768
Sm Ti Pd
1 1 6
Direct
0.0000 0.0000 0.0000
0.0000 0.0000 0.5000
0.0000 0.5000 0.2697
0.0000 0.5000 0.7303
0.5000 0.0000 0.2697
0.5000 0.0000 0.7303
0.5000 0.5000 0.0000
0.5000 0.5000 0.5000
```

Results
V: 16.6 Å³/atom
energy relative to the elements: -559 kJ/mol of formula units
mass density: 10.45 g/cm³
crystal system: tetragonal
uncorrected energy: -49.6 eV per cell

=====

No. 6
Si2TeOsF: relaxed, PBE.

```
Si2TeOsF
1.0
4.6079 0.0000 0.0000
0.0000 4.6079 0.0000
0.0000 0.0000 4.1719
Si Te Os F
2 1 1 1
Direct
0.0000 0.5000 0.0000
0.5000 0.0000 0.0000
0.0000 0.0000 0.5000
0.5000 0.5000 0.5000
0.5000 0.5000 0.0000
```

Results
V: 17.7 Å³/atom
mass density: 7.37 g/cm³
crystal system: tetragonal
uncorrected energy: -22.7 eV per cell

=====

No. 7
SrSiO3: relaxed, PBE.

```
SrSiO3
1.0
6.5285 0.0000 0.0000
0.0000 11.3682 0.0000
0.0000 0.0000 4.7444
Sr Si O
4 4 12
Direct
0.0906 0.1326 0.0000
0.4094 0.6326 0.5000
0.5906 0.3674 0.0000
0.9094 0.8674 0.5000
0.1411 0.4683 0.9381
0.3589 0.9683 0.4381
0.6411 0.0317 0.9381
0.8589 0.5317 0.4381
0.0778 0.5046 0.6067
0.1660 0.0538 0.5143
0.2097 0.3322 0.9629
0.2903 0.8322 0.4629
0.3340 0.5538 0.0143
0.4222 0.0046 0.1067
0.5778 0.9954 0.6067
0.6660 0.4462 0.5143
0.7097 0.1678 0.9629
0.7903 0.6678 0.4629
0.8340 0.9462 0.0143
0.9222 0.4954 0.1067
```

Results
V: 17.6 Å³/atom
mass density: 3.09 g/cm³
crystal system: orthorhombic
uncorrected energy: -147.4 eV per cell

=====

No. 8
Hf3NbZn7: relaxed, PBE.

```
Hf3NbZn7
1.0
1.4994 -9.5752 0.0000
1.4994 9.5752 0.0000
0.0000 0.0000 13.4743
Hf Nb Zn
6 2 14
Direct
0.1166 0.8834 0.5489
0.1166 0.8834 0.9511
0.2500 0.7500 0.2500
0.7500 0.2500 0.7500
0.8834 0.1166 0.0489
0.8834 0.1166 0.4511
0.0223 0.9777 0.2500
0.9777 0.0223 0.7500
0.2630 0.7370 0.5711
0.2630 0.7370 0.9289
0.3722 0.6278 0.6559
0.3722 0.6278 0.8441
0.3971 0.6029 0.2500
0.4918 0.5082 0.5862
0.4918 0.5082 0.9138
0.5082 0.4918 0.0862
0.5082 0.4918 0.4138
0.6029 0.3971 0.7500
0.6278 0.3722 0.1559
0.6278 0.3722 0.3441
0.7370 0.2630 0.0711
0.7370 0.2630 0.4289
```

Results
V: 17.6 Å³/atom
energy relative to the elements: 34 kJ/mol of formula units
mass density: 9.32 g/cm³
crystal system: orthorhombic
uncorrected energy: -97.0 eV per cell

=====

No. 9
NiPd6Pt2: relaxed, PBE.

```
NiPd6Pt2
1.0
5.8751 -1.9610 0.0000
5.8751 1.9610 0.0000
-1.9406 0.0000 5.8877
Ni Pd Pt
1 6 2
Direct
0.0000 0.0000 0.0000
0.1103 0.1103 0.6727
0.2201 0.2201 0.3305
0.3380 0.3380 0.9986
0.6620 0.6620 0.0014
0.7799 0.7799 0.6695
0.8897 0.8897 0.3273
0.4457 0.4457 0.6705
0.5543 0.5543 0.3295
```

Results
V: 15.1 Å³/atom
energy relative to the elements: -8 kJ/mol of formula units
mass density: 13.31 g/cm³
crystal system: monoclinic
uncorrected energy: -49.1 eV per cell

=====

No. 10
Mn2TcP: relaxed, PBE.

```
Mn2TcP
1.0
2.4804 -3.6574 0.0000
2.4804 3.6574 0.0000
0.0000 0.0000 2.8478
Mn Tc P
2 1 1
Direct
0.0000 0.5000 0.0000
0.5000 0.0000 0.0000
0.0000 0.0000 0.5000
0.5000 0.5000 0.5000
```

Results
V: 12.9 Å³/atom
energy relative to the elements: -13 kJ/mol of formula units
mass density: 7.68 g/cm³
crystal system: orthorhombic
uncorrected energy: -34.3 eV per cell

=====

No. 11
Pm2AlPt2: relaxed, PBE.

```
Pm2AlPt2
1.0
-2.1712 2.8566 4.4577
2.1712 -2.8566 4.4577
2.1712 2.8566 -4.4577
Pm Al Pt
2 1 2
Direct
0.1989 0.1989 0.0000
0.8011 0.8011 0.0000
0.5000 0.0000 0.5000
0.2431 0.5000 0.7431
0.7569 0.5000 0.2569
```

Results
V: 22.1 Å³/atom
energy relative to the elements: -517 kJ/mol of formula units
mass density: 10.62 g/cm³
crystal system: orthorhombic
uncorrected energy: -30.7 eV per cell

=====

No. 12
Nd2Tm3Zn2: relaxed, PBE.

```
Nd2Tm3Zn2
1.0
5.7535 -2.3643 0.0000
5.7535 2.3643 0.0000
-3.6709 0.0000 7.1773
Nd Tm Zn
2 3 2
Direct
0.1362 0.1362 0.2911
0.8638 0.8638 0.7089
0.3658 0.3658 0.0391
0.5000 0.5000 0.5000
0.6342 0.6342 0.9609
0.1433 0.1433 0.6933
0.8567 0.8567 0.3067
```

Results
V: 27.9 Å³/atom
energy relative to the elements: -62 kJ/mol of formula units
mass density: 7.88 g/cm³
crystal system: monoclinic
uncorrected energy: -26.1 eV per cell

=====

No. 13
CeMgTl2: relaxed, PBE.

```
CeMgTl2
1.0
2.4205 1.3975 5.8068
-2.4205 1.3975 5.8068
0.0000 -2.7949 5.8068
Ce Mg Tl
1 1 2
Direct
0.0000 0.0000 0.0000
0.2019 0.2019 0.2019
0.5653 0.5653 0.5653
0.7803 0.7803 0.7803
```

Results
V: 29.5 Å³/atom
energy relative to the elements: -8 kJ/mol of formula units
mass density: 8.08 g/cm³
crystal system: trigonal
uncorrected energy: -12.3 eV per cell

=====

No. 14
Nd7Y4Mg: relaxed, PBE.

```
Nd7Y4Mg
1.0
5.7825 -2.9287 0.0000
5.7825 2.9287 0.0000
-5.2219 0.0000 12.1735
Nd Y Mg
7 4 1
Direct
0.0000 0.0000 0.0000
0.2111 0.2111 0.9115
0.3414 0.3414 0.4662
0.3491 0.3491 0.7307
0.6509 0.6509 0.2693
0.6586 0.6586 0.5338
0.7889 0.7889 0.0885
0.0028 0.0028 0.6346
0.3201 0.3201 0.2043
0.6799 0.6799 0.7957
0.9972 0.9972 0.3654
0.5000 0.5000 0.0000
```

Results
V: 34.4 Å³/atom
energy relative to the elements: 261 kJ/mol of formula units
mass density: 5.60 g/cm³
crystal system: monoclinic
uncorrected energy: -58.1 eV per cell

=====

No. 15
NbAuSe2N: relaxed, PBE.

```
NbAuSe2N
1.0
5.1922 0.0000 0.0000
0.0000 5.1922 0.0000
0.0000 0.0000 3.8823
Nb Au Se N
1 1 2 1
Direct
0.0000 0.0000 0.0000
0.5000 0.5000 0.5000
0.0000 0.5000 0.0000
0.5000 0.0000 0.0000
0.0000 0.0000 0.5000
```

Results
V: 20.9 Å³/atom
mass density: 7.33 g/cm³
crystal system: tetragonal
uncorrected energy: -27.3 eV per cell

=====

No. 16
ErScTlAg: relaxed, PBE.

```
ErScTlAg
1.0
0.0000 3.6079 3.6079
3.6079 0.0000 3.6079
3.6079 3.6079 0.0000
Er Sc Tl Ag
1 1 1 1
Direct
0.0000 0.0000 0.0000
0.5000 0.5000 0.5000
0.7500 0.7500 0.7500
0.2500 0.2500 0.2500
```

Results
V: 23.5 Å³/atom
energy relative to the elements: -119 kJ/mol of formula units
mass density: 9.27 g/cm³
crystal system: cubic
uncorrected energy: -17.3 eV per cell

=====

No. 17
Ca2LaHgIr: relaxed, PBE.

```
Ca2LaHgIr
1.0
5.5741 0.0000 0.0000
0.0000 5.5741 0.0000
0.0000 0.0000 5.4405
Ca La Hg Ir
2 1 1 1
Direct
0.0000 0.5000 0.0000
0.5000 0.0000 0.0000
0.0000 0.0000 0.5000
0.5000 0.5000 0.5000
0.0000 0.0000 0.0000
```

Results
V: 33.8 Å³/atom
energy relative to the elements: -185 kJ/mol of formula units
mass density: 6.01 g/cm³
crystal system: tetragonal
uncorrected energy: -20.0 eV per cell

=====

No. 18
ReSiPb2: relaxed, PBE.

```
ReSiPb2
1.0
1.7612 -2.5196 0.0000
1.7612 2.5196 0.0000
0.0000 0.0000 10.0447
Re Si Pb
1 1 2
Direct
0.0000 0.0000 0.0000
0.0000 0.0000 0.5000
0.5000 0.5000 0.2306
0.5000 0.5000 0.7694
```

Results
V: 22.3 Å³/atom
mass density: 11.71 g/cm³
crystal system: orthorhombic
uncorrected energy: -21.0 eV per cell

=====

No. 19
AuI: relaxed, PBE.

```
AuI
1.0
3.8790 -2.9930 0.0000
3.8790 2.9930 0.0000
-1.0869 0.0000 6.8221
Au I
2 2
Direct
0.0000 0.0000 0.0000
0.5000 0.5000 0.0000
0.2132 0.2132 0.7381
0.7868 0.7868 0.2619
```

Results
V: 39.6 Å³/atom
mass density: 6.79 g/cm³
crystal system: monoclinic
uncorrected energy: -9.9 eV per cell

=====

No. 20
Mn2SiPt: relaxed, PBE.

```
Mn2SiPt
1.0
2.8203 0.0000 0.0000
0.0000 2.8203 0.0000
0.0000 0.0000 6.5221
Mn Si Pt
2 1 1
Direct
0.0000 0.0000 0.0000
0.5000 0.5000 0.2414
0.5000 0.5000 0.7976
0.0000 0.0000 0.5484
```

Results
V: 13.0 Å³/atom
mass density: 10.66 g/cm³
crystal system: tetragonal
uncorrected energy: -30.9 eV per cell